1.
The following is a DFT calculation (PBE) of a geometry-optimized La4TlAu2 structure.

The structure in CIF format:
```
data_La4TlAu2
_chemical_formula_sum 'La12 Tl3 Au6'
_symmetry_space_group_name_H-M 'R -3 m'
_symmetry_Int_Tables_number 166
_symmetry_space_group_name_Hall '-R 3 2"'
_cell_length_a 5.1976
_cell_length_b 5.1976
_cell_length_c 29.5759
_cell_angle_alpha 90.00
_cell_angle_beta 90.00
_cell_angle_gamma 120.00
loop_
_atom_site_label
_atom_site_type_symbol
_atom_site_fract_x
_atom_site_fract_y
_atom_site_fract_z
La1 La 0.0000 0.0000 0.1189
La2 La 0.0000 0.0000 0.2925
Tl1 Tl 0.0000 0.0000 0.5000
Au1 Au 0.0000 0.0000 0.3959
```

Summary:
The formation energy is -0.433 eV/atom.

---

2.
The following is a DFT calculation (PBE) of a geometry-optimized PrTm2InPd4 structure.

The structure in CIF format:
```
data_PrTm2InPd4
_chemical_formula_sum 'Pr3 Tm6 In3 Pd12'
_symmetry_space_group_name_H-M 'R -3 m'
_symmetry_Int_Tables_number 166
_symmetry_space_group_name_Hall '-R 3 2"'
_cell_length_a 4.8686
_cell_length_b 4.8686
_cell_length_c 24.5633
_cell_angle_alpha 90.00
_cell_angle_beta 90.00
_cell_angle_gamma 120.00
loop_
_atom_site_label
_atom_site_type_symbol
_atom_site_fract_x
_atom_site_fract_y
_atom_site_fract_z
Pr1 Pr 0.0000 0.0000 0.0000
Tm1 Tm 0.0000 0.0000 0.2430
In1 In 0.0000 0.0000 0.5000
Pd1 Pd 0.0000 0.0000 0.1249
Pd2 Pd 0.0000 0.0000 0.3851
```

Summary:
The formation energy is -0.796 eV/atom.

---

3.
The following is a DFT calculation (PBE) of a geometry-optimized VTcGeIr2 structure.

The structure in CIF format:
```
data_VTcGeIr2
_chemical_formula_sum 'V1 Tc1 Ge1 Ir2'
_symmetry_space_group_name_H-M 'P 4/m m m'
_symmetry_Int_Tables_number 123
_symmetry_space_group_name_Hall '-P 4 2'
_cell_length_a 4.4971
_cell_length_b 4.4971
_cell_length_c 4.5272
_cell_angle_alpha 90.00
_cell_angle_beta 90.00
_cell_angle_gamma 90.00
loop_
_atom_site_label
_atom_site_type_symbol
_atom_site_fract_x
_atom_site_fract_y
_atom_site_fract_z
V1 V 0.0000 0.0000 0.0000
Tc1 Tc 0.5000 0.5000 0.0000
Ge1 Ge 0.0000 0.0000 0.5000
Ir1 Ir 0.0000 0.5000 0.5000
```

Summary:
The formation energy is 1.215 eV/atom.

---

no.,Fermi-level density of states (states/eV/f.u.)
1,8.36
2,5.72
3,4.95